[1]
VASP calculation (GGA-PBE) on Cs2SmCu2Cl6 after structural relaxation.

Geometry as CIF:
```
data_Cs2SmCu2Cl6
_chemical_formula_sum 'Cs4 Sm2 Cu4 Cl12'
_cell_length_a 14.886
_cell_length_b 7.081
_cell_length_c 8.599
_cell_angle_alpha 90.00
_cell_angle_beta 122.01
_cell_angle_gamma 90.00
_space_group_name_H-M_alt 'C 1 2/m 1'
_space_group_IT_number 12
_space_group_name_Hall '-C 2y'
loop_
_atom_site_label
_atom_site_fract_x
_atom_site_fract_y
_atom_site_fract_z
_atom_site_occupancy
Cs1 0.205 0.000 0.228 1
Sm1 0.000 0.000 0.500 1
Cu1 0.009 0.500 0.648 1
Cl1 0.025 0.227 0.787 1
Cl2 0.210 0.000 0.646 1
```

calculated total energy: -3.8048 eV/atom
density of states at the Fermi level: 7.2 states/eV/cell
crystal system: monoclinic
E_form (uncorrected): -1.469 eV per atom
V: 768.5 Å³/cell

[2]
VASP calculation (GGA-PBE) on BaMgZn2Ru after structural relaxation.

Geometry as CIF:
```
data_BaMgZn2Ru
_chemical_formula_sum 'Ba1 Mg1 Zn2 Ru1'
_cell_length_a 4.987
_cell_length_b 4.987
_cell_length_c 5.004
_cell_angle_alpha 90.00
_cell_angle_beta 90.00
_cell_angle_gamma 90.00
_space_group_name_H-M_alt 'P 4/m m m'
_space_group_IT_number 123
_space_group_name_Hall '-P 4 2'
loop_
_atom_site_label
_atom_site_fract_x
_atom_site_fract_y
_atom_site_fract_z
_atom_site_occupancy
Ba1 0.000 0.000 0.000 1
Mg1 0.500 0.500 0.000 1
Zn1 0.000 0.500 0.500 1
Ru1 0.500 0.500 0.500 1
```

calculated total energy: -3.1492 eV/atom
density of states at the Fermi level: 3.7 states/eV/cell
calculated formation energy: -0.08 eV/atom
crystal system: tetragonal
V: 124.4 Å³/cell

[3]
VASP calculation (GGA-PBE) on In2HgTeO8 after structural relaxation.

Geometry as CIF:
```
data_In2HgTeO8
_chemical_formula_sum 'In2 Hg1 Te1 O8'
_cell_length_a 4.879
_cell_length_b 4.894
_cell_length_c 6.765
_cell_angle_alpha 87.16
_cell_angle_beta 86.99
_cell_angle_gamma 86.77
_space_group_name_H-M_alt 'P -1'
_space_group_IT_number 2
_space_group_name_Hall '-P 1'
loop_
_atom_site_label
_atom_site_fract_x
_atom_site_fract_y
_atom_site_fract_z
_atom_site_occupancy
In1 0.006 0.007 0.254 1
Hg1 0.500 0.500 0.000 1
Te1 0.500 0.500 0.500 1
O1 0.197 0.818 0.999 1
O2 0.214 0.798 0.499 1
O3 0.294 0.309 0.703 1
O4 0.324 0.332 0.273 1
```

calculated total energy: -4.9304 eV/atom
density of states at the Fermi level: 6.1 states/eV/cell
crystal system: triclinic
E_form (uncorrected): -0.882 eV per atom
V: 160.9 Å³/cell

[4]
VASP calculation (GGA-PBE) on Zr2InSi after structural relaxation.

Geometry as CIF:
```
data_Zr2InSi
_chemical_formula_sum 'Zr8 In4 Si4'
_cell_length_a 6.909
_cell_length_b 6.909
_cell_length_c 6.909
_cell_angle_alpha 90.00
_cell_angle_beta 90.00
_cell_angle_gamma 90.00
_space_group_name_H-M_alt 'F -4 3 m'
_space_group_IT_number 216
_space_group_name_Hall 'F -4 2 3'
loop_
_atom_site_label
_atom_site_fract_x
_atom_site_fract_y
_atom_site_fract_z
_atom_site_occupancy
Zr1 0.000 0.000 0.000 1
Zr2 0.250 0.250 0.250 1
In1 0.000 0.000 0.500 1
Si1 0.250 0.250 0.750 1
```

calculated total energy: -6.0873 eV/atom
density of states at the Fermi level: 18.9 states/eV/cell
crystal system: cubic
E_form (uncorrected): 0.227 eV per atom
V: 329.8 Å³/cell

[5]
VASP calculation (GGA-PBE) on Be2AlCu after structural relaxation.

Geometry as CIF:
```
data_Be2AlCu
_chemical_formula_sum 'Be2 Al1 Cu1'
_cell_length_a 3.574
_cell_length_b 3.574
_cell_length_c 3.413
_cell_angle_alpha 90.00
_cell_angle_beta 90.00
_cell_angle_gamma 90.00
_space_group_name_H-M_alt 'P 4/m m m'
_space_group_IT_number 123
_space_group_name_Hall '-P 4 2'
loop_
_atom_site_label
_atom_site_fract_x
_atom_site_fract_y
_atom_site_fract_z
_atom_site_occupancy
Be1 0.000 0.500 0.000 1
Al1 0.000 0.000 0.500 1
Cu1 0.500 0.500 0.500 1
```

calculated total energy: -3.7710 eV/atom
density of states at the Fermi level: 0.9 states/eV/cell
calculated formation energy: 0.05 eV/atom
crystal system: tetragonal
V: 43.6 Å³/cell

[6]
VASP calculation (GGA-PBE) on ZnBiMoP2 after structural relaxation.

Geometry as CIF:
```
data_ZnBiMoP2
_chemical_formula_sum 'Zn1 Bi1 Mo1 P2'
_cell_length_a 5.288
_cell_length_b 5.288
_cell_length_c 5.045
_cell_angle_alpha 90.00
_cell_angle_beta 90.00
_cell_angle_gamma 90.00
_space_group_name_H-M_alt 'P 4/m m m'
_space_group_IT_number 123
_space_group_name_Hall '-P 4 2'
loop_
_atom_site_label
_atom_site_fract_x
_atom_site_fract_y
_atom_site_fract_z
_atom_site_occupancy
Zn1 0.000 0.000 0.000 1
Bi1 0.000 0.000 0.500 1
Mo1 0.500 0.500 0.000 1
P1 0.000 0.500 0.500 1
```

calculated total energy: -3.6573 eV/atom
density of states at the Fermi level: 3.4 states/eV/cell
calculated formation energy: 1.70 eV/atom
crystal system: tetragonal
V: 141.0 Å³/cell